A plane-wave DFT calculation with PBE was carried out for Ce3AsO3 after structural relaxation.

abc: 6.8634 6.8634 21.1320
angles: 90.00 90.00 120.00
Last column: nearest neighbours and their distance in Å.
Space group R-3 (No. 148, hexagonal axes)
Unique sites:
Ce1 0.0015 0.6520 0.4037 (multiplicity 18)  4 O 2.34-2.39
As1 0.0000 0.0000 0.1665 (multiplicity 6)  6 Ce 3.02-3.03
O1 0.0041 0.6812 0.6245 (multiplicity 18)  4 Ce 2.34-2.39

Formation energy without anion corrections in eV per formula unit: -19.2
E in eV/atom: -8.0704
Energy above the lowest structure with this stoichiometry in eV per atom: 0.000

A plane-wave DFT calculation with PBE was carried out for NaNiP2Ir after structural relaxation.

abc: 3.9685 3.9685 9.5545
angles: 90.00 90.00 90.00
Last column: nearest neighbours and their distance in Å.
Space group I-4m2 (No. 119)
Unique sites:
Na1 0.0000 0.0000 0.0000 (multiplicity 2)  8 P 3.04, 4 Ni 3.11, 4 Ir 3.11
Ni1 0.0000 0.5000 0.7500 (multiplicity 2)  4 P 2.33
P1 0.0000 0.0000 0.3784 (multiplicity 4)  1 P 2.32, 2 Ni 2.33, 2 Ir 2.33
Ir1 0.0000 0.5000 0.2500 (multiplicity 2)  4 P 2.33

ΔH_f (0 K) in eV/f.u.: -2.46
E in eV/atom: -5.8475

A plane-wave DFT calculation with PBE was carried out for Tb2PmNi after structural relaxation.

abc: 4.8514 11.9012 7.3528
angles: 90.00 90.00 90.00
Last column: nearest neighbours and their distance in Å.
Space group Cmcm (No. 63)
Unique sites:
Tb1 0.0000 0.1531 0.0289 (multiplicity 8)  3 Ni 2.74-2.96
Pm1 0.0000 0.4637 0.2500 (multiplicity 4)  1 Ni 2.75
Ni1 0.0000 0.3054 0.7500 (multiplicity 4)  6 Tb 2.74-2.96, 1 Pm 2.75

ΔH_f (0 K) in eV/f.u.: -0.74
E in eV/atom: -5.1343
Energy above the lowest structure with this stoichiometry in eV per atom: 0.035

One value per record, in order, for D(E_F): 12.27, 2.80, 3.84 states/eV/f.u..
One value per record, in order, for volume: 862, 150, 425 Å³ per cell.